Compound: BaSr2Sc
Source: the Alexandria database
Functional: GGA-PBEsol
Structure: optimized geometry

Cell lengths 3.7941, 6.1679, 7.2962 Å; angles 90.00, 99.61, 90.00 degrees
Last column: nearest neighbours and their distance in Å.
Fractional coordinates of all 4 atoms:
Ba1 0.0000 0.0000 0.0000  2 Ba 3.79, 2 Sc 3.82, 4 Sr 3.86
Sr1 0.2558 0.5000 0.7335  4 Sr 3.63-4.02, 2 Sc 3.71, 2 Ba 3.86
Sr2 0.7442 0.5000 0.2665  4 Sr 3.63-4.02, 2 Sc 3.71, 2 Ba 3.86
Sc1 0.5000 0.0000 0.5000  4 Sr 3.71, 2 Sc 3.79, 2 Ba 3.82

Calculated values
Space group: P2/m
Raw total energy (eV/atom): -2.830
Size of the total moment (μB/cell): 0.01
Calculated formation energy (eV per atom): 0.279

Compound: Mg2InAs
Source: the Alexandria database
Functional: GGA-PBEsol
Structure: optimized geometry

Cell lengths 4.4545, 4.4545, 8.4035 Å; angles 90.00, 90.00, 90.00 degrees
Last column: nearest neighbours and their distance in Å.
Fractional coordinates of all 8 atoms:
Mg1 0.0000 0.5000 0.2500  4 As 3.06, 4 In 3.06, 4 Mg 3.15
Mg2 0.0000 0.5000 0.7500  4 In 3.06, 4 As 3.06, 4 Mg 3.15
Mg3 0.5000 0.0000 0.2500  4 As 3.06, 4 In 3.06, 4 Mg 3.15
Mg4 0.5000 0.0000 0.7500  4 In 3.06, 4 As 3.06, 4 Mg 3.15
In1 0.0000 0.0000 0.0000  8 Mg 3.06, 4 As 3.15
In2 0.5000 0.5000 0.5000  8 Mg 3.06, 4 As 3.15
As1 0.0000 0.0000 0.5000  8 Mg 3.06, 4 In 3.15
As2 0.5000 0.5000 0.0000  8 Mg 3.06, 4 In 3.15

Calculated values
Space group: I4/mmm
Polymorph energy (0 for the lowest one) (meV/atom): 4
Raw total energy (eV/atom): -3.054
Size of the total moment (μB/cell): 0.00
Calculated formation energy (eV per atom): -0.173

Compound: LiSbCl
Source: the Alexandria database
Functional: GGA-PBEsol
Structure: optimized geometry

Cell lengths 6.8782, 6.8782, 6.8782 Å; angles 90.00, 90.00, 90.00 degrees
Last column: nearest neighbours and their distance in Å.
Fractional coordinates of all 12 atoms:
Li1 0.0000 0.0000 0.0000  4 Cl 2.98
Li2 0.0000 0.5000 0.5000  4 Cl 2.98
Li3 0.5000 0.0000 0.5000  4 Cl 2.98
Li4 0.5000 0.5000 0.0000  4 Cl 2.98
Sb1 0.0000 0.0000 0.5000  4 Cl 2.98
Sb2 0.0000 0.5000 0.0000  4 Cl 2.98
Sb3 0.5000 0.0000 0.0000  4 Cl 2.98
Sb4 0.5000 0.5000 0.5000  4 Cl 2.98
Cl1 0.2500 0.2500 0.7500  4 Li 2.98, 4 Sb 2.98
Cl2 0.2500 0.7500 0.2500  4 Li 2.98, 4 Sb 2.98
Cl3 0.7500 0.2500 0.2500  4 Li 2.98, 4 Sb 2.98
Cl4 0.7500 0.7500 0.7500  4 Li 2.98, 4 Sb 2.98

Calculated values
Formation energy (no corrections) (eV/f.u.): 0.2
Space group: F-43m
Polymorph energy (0 for the lowest one) (meV/atom): 118
Raw total energy (eV/atom): -2.762
Size of the total moment (μB/cell): 2.97